## InI2BrO (PBEsol)

Data for a relaxed structure of InI2BrO.

Calculated values
As for the total magnetization: 0.0 μB/cell. The energy relative to the elements, uncorrected is -0.72 eV/f.u. The space-group type is P4/mmm.

Cell lengths 6.065, 6.065, 3.833 Å; angles 90.00, 90.00, 90.00 degrees
Atoms (fractional coordinates):
In 0.000 0.000 0.000
I 0.000 0.500 0.000
I 0.500 0.000 0.000
Br 0.500 0.500 0.500
O 0.000 0.000 0.500

## InPdI2Br (PBEsol)

Data for a relaxed structure of InPdI2Br.

Calculated values
As for the total magnetization: 0.6 μB/cell. The energy relative to the elements, uncorrected is 1.56 eV/f.u. The space-group type is P4/mmm.

Cell lengths 5.788, 5.788, 5.244 Å; angles 90.00, 90.00, 90.00 degrees
Atoms (fractional coordinates):
In 0.000 0.000 0.000
Pd 0.500 0.500 0.500
I 0.000 0.500 0.000
I 0.500 0.000 0.000
Br 0.000 0.000 0.500